A geometry-optimized Er2Tm3In2 structure. Source: the Alexandria database, functional PBE.

Structure (extended XYZ):
```
7
Lattice="6.403 -1.848 0.000 6.403 1.848 0.000 -1.449 0.000 8.306" Properties=species:S:1:pos:R:3 pbc="T T T"
Er 1.083 0.000 3.626
Er 10.273 0.000 4.679
Tm 0.000 0.000 0.000
Tm 2.149 0.000 6.986
Tm 9.208 0.000 1.320
In 5.211 0.000 2.271
In 6.146 0.000 6.035
```

Calculated values
space-group type	No. 12
E above lowest polymorph	0.0	meV/atom
density of states at the Fermi level	0.905	states/eV per atom
formation energy	-0.269	eV/atom
total magnetization	0.00	μB per formula unit